Entry 1:
A plane-wave DFT calculation with PBEsol was carried out for a geometry-optimized TcTeAs2 structure.

```
TcTeAs2
1.0
1.6171 -2.5144 0.0000
1.6171 2.5144 0.0000
0.0000 0.0000 9.4346
Tc Te As
1 1 2
direct
0.0000 0.0000 0.0000
0.5000 0.5000 0.7619
0.0000 0.0000 0.4651
0.5000 0.5000 0.1928
```

Values from the calculation:
For the electronic total energy, the calculation gives -5.826 eV/atom. As for the crystal system: orthorhombic. The calculation puts the formation energy (no corrections) at 0.42 eV per atom.

Entry 2:
A plane-wave DFT calculation with PBEsol was carried out for a geometry-optimized TcTeAs structure.

```
TcTeAs
1.0
3.3683 0.0000 0.0000
-1.6842 2.9170 0.0000
0.0000 0.0000 5.9507
Tc Te As
1 1 1
direct
0.0000 0.0000 0.0000
0.6667 0.3333 0.6868
0.3333 0.6667 0.2647
```

Values from the calculation:
For the electronic total energy, the calculation gives -6.606 eV/atom. As for the crystal system: trigonal. The calculation puts the formation energy (no corrections) at 0.03 eV per atom.

Entry 3:
A plane-wave DFT calculation with PBEsol was carried out for a geometry-optimized Tc2TeAs structure.

```
Tc2TeAs
1.0
4.2577 -1.6100 0.0000
4.2577 1.6100 0.0000
-1.3081 0.0000 5.0003
Tc Te As
2 1 1
direct
0.0000 0.0000 0.0000
0.2237 0.2237 0.6042
0.7458 0.7458 0.1999
0.5113 0.5113 0.6387
```

Values from the calculation:
For the electronic total energy, the calculation gives -7.757 eV/atom. As for the crystal system: monoclinic. The calculation puts the formation energy (no corrections) at 0.03 eV per atom.

Entry 4:
A plane-wave DFT calculation with PBEsol was carried out for a geometry-optimized TlTcAs3 structure.

```
TlTcAs3
1.0
5.1335 0.0000 0.0000
0.0000 5.1335 0.0000
0.0000 0.0000 5.1335
Tl Tc As
1 1 3
direct
0.0000 0.0000 0.0000
0.5000 0.5000 0.5000
0.0000 0.0000 0.5000
0.0000 0.5000 0.0000
0.5000 0.0000 0.0000
```

Values from the calculation:
The value obtained for the formation energy is 1.9109 eV/atom. For the electronic total energy, the calculation gives -3.932 eV/atom. As for the crystal system: cubic.

Question: Which of these has the highest electronic total energy?
Answer: TlTcAs3

Question: electronic total energy of number 1 (TcTeAs2)?
Answer: -5.826 eV/atom